Entry 1:
This record from Alexandria via LeMat-Bulk describes crystalline Y4Te3N at its relaxed geometry. The functional is GGA-PBE.

Lattice parameters (Å, degrees): 10.0551 8.0022 5.9811 90.00 90.00 90.00
Space group Pmn2_1 (No. 31)
Symmetry-distinct sites (fractional):
Y: 0.0000 0.1273 0.0000 [2 per cell]
Y: 0.0000 0.8609 0.4741 [2 per cell]
Y: 0.2038 0.2355 0.4573 [4 per cell]
Te: 0.0000 0.7489 0.9759 [2 per cell]
Te: 0.2381 0.3564 0.9591 [4 per cell]
N: 0.0000 0.1368 0.3850 [2 per cell]

Computed properties:
Total moment: 0.0 μB per formula unit
Formation energy from raw total energies: -1.213 eV/atom

***

Entry 2:
This record from Alexandria via LeMat-Bulk describes crystalline YZn2TeN at its relaxed geometry. The functional is GGA-PBE.

Lattice parameters (Å, degrees): 6.0390 6.0390 5.7179 90.00 90.00 90.00
Space group P4/mmm (No. 123)
Symmetry-distinct sites (fractional):
Y: 0.0000 0.0000 0.0000 [1 per cell]
Zn: 0.0000 0.5000 0.0000 [2 per cell]
Te: 0.0000 0.0000 0.5000 [1 per cell]
N: 0.5000 0.5000 0.5000 [1 per cell]

Computed properties:
Total moment: 2.4 μB per formula unit
Formation energy from raw total energies: 1.166 eV/atom

***

Entry 3:
This record from Alexandria via LeMat-Bulk describes crystalline YZnTeN2 at its relaxed geometry. The functional is GGA-PBE.

Lattice parameters (Å, degrees): 4.1931 4.1931 5.2884 90.00 90.00 90.00
Space group P4/mmm (No. 123)
Symmetry-distinct sites (fractional):
Y: 0.0000 0.0000 0.0000 [1 per cell]
Zn: 0.5000 0.5000 0.5000 [1 per cell]
Te: 0.5000 0.5000 0.0000 [1 per cell]
N: 0.0000 0.5000 0.5000 [2 per cell]

Computed properties:
Total moment: 2.4 μB per formula unit
Formation energy from raw total energies: 0.762 eV/atom

***

Entry 4:
This record from Alexandria via LeMat-Bulk describes crystalline YZnTe2N at its relaxed geometry. The functional is GGA-PBE.

Lattice parameters (Å, degrees): 5.5332 5.5332 3.8695 90.00 90.00 90.00
Space group P4/mmm (No. 123)
Symmetry-distinct sites (fractional):
Y: 0.0000 0.0000 0.0000 [1 per cell]
Zn: 0.5000 0.5000 0.5000 [1 per cell]
Te: 0.0000 0.5000 0.5000 [2 per cell]
N: 0.5000 0.5000 0.0000 [1 per cell]

Computed properties:
Total moment: 1.9 μB per formula unit
Formation energy from raw total energies: 0.112 eV/atom

***

Entry 5:
This record from Alexandria via LeMat-Bulk describes crystalline YZnTe2N at its relaxed geometry. The functional is GGA-PBE.

Lattice parameters (Å, degrees): 6.1195 6.1195 4.0484 90.00 90.00 90.00
Space group P4/mmm (No. 123)
Symmetry-distinct sites (fractional):
Y: 0.0000 0.0000 0.0000 [1 per cell]
Zn: 0.5000 0.5000 0.5000 [1 per cell]
Te: 0.0000 0.5000 0.0000 [2 per cell]
N: 0.0000 0.0000 0.5000 [1 per cell]

Computed properties:
Total moment: 0.0 μB per formula unit
Formation energy from raw total energies: 0.354 eV/atom

***

Entry 6:
This record from Alexandria via LeMat-Bulk describes crystalline YZnTeN2 at its relaxed geometry. The functional is GGA-PBE.

Lattice parameters (Å, degrees): 4.4182 4.4182 6.3686 90.00 90.00 90.00
Space group P4/mmm (No. 123)
Symmetry-distinct sites (fractional):
Y: 0.0000 0.0000 0.0000 [1 per cell]
Zn: 0.5000 0.5000 0.5000 [1 per cell]
Te: 0.0000 0.0000 0.5000 [1 per cell]
N: 0.0000 0.5000 0.0000 [2 per cell]

Computed properties:
Total moment: 3.4 μB per formula unit
Formation energy from raw total energies: 0.731 eV/atom

***

Entry 7:
This record from Alexandria via LeMat-Bulk describes crystalline Y2ZrTe2N2 at its relaxed geometry. The functional is GGA-PBE.

Lattice parameters (Å, degrees): 4.2485 4.2485 16.7220 90.00 90.00 90.00
Space group I4/mmm (No. 139)
Symmetry-distinct sites (fractional):
Y: 0.0000 0.0000 0.0975 [4 per cell]
Zr: 0.0000 0.0000 0.5000 [2 per cell]
Te: 0.0000 0.0000 0.3216 [4 per cell]
N: 0.0000 0.5000 0.0000 [4 per cell]

Computed properties:
Total moment: 0.0 μB per formula unit
Formation energy from raw total energies: -1.370 eV/atom

***

Entry 8:
This record from Alexandria via LeMat-Bulk describes crystalline YZrTeN2 at its relaxed geometry. The functional is GGA-PBE.

Lattice parameters (Å, degrees): 4.2789 4.2789 5.7289 90.00 90.00 90.00
Space group P4/mmm (No. 123)
Symmetry-distinct sites (fractional):
Y: 0.0000 0.0000 0.0000 [1 per cell]
Zr: 0.5000 0.5000 0.5000 [1 per cell]
Te: 0.5000 0.5000 0.0000 [1 per cell]
N: 0.0000 0.5000 0.5000 [2 per cell]

Computed properties:
Total moment: 0.4 μB per formula unit
Formation energy from raw total energies: -0.292 eV/atom

***

Entry 9:
This record from Alexandria via LeMat-Bulk describes crystalline YZrTeN2 at its relaxed geometry. The functional is GGA-PBE.

Lattice parameters (Å, degrees): 4.3333 4.3333 5.8414 90.00 90.00 90.00
Space group P4/mmm (No. 123)
Symmetry-distinct sites (fractional):
Y: 0.0000 0.0000 0.0000 [1 per cell]
Zr: 0.5000 0.5000 0.5000 [1 per cell]
Te: 0.0000 0.0000 0.5000 [1 per cell]
N: 0.0000 0.5000 0.0000 [2 per cell]

Computed properties:
Total moment: 0.0 μB per formula unit
Formation energy from raw total energies: 0.575 eV/atom

***

Entry 10:
This record from Alexandria via LeMat-Bulk describes crystalline Zn2TeN at its relaxed geometry. The functional is GGA-PBE.

Lattice parameters (Å, degrees): 5.5319 5.5319 9.9389 90.00 90.00 90.00
Space group I-42d (No. 122)
Symmetry-distinct sites (fractional):
Zn: 0.1150 0.2500 0.1250 [8 per cell]
Te: 0.0000 0.0000 0.5000 [4 per cell]
N: 0.0000 0.0000 0.0000 [4 per cell]

Computed properties:
Total moment: 0.0 μB per formula unit
Formation energy from raw total energies: 0.060 eV/atom

***

Entry 11:
This record from Alexandria via LeMat-Bulk describes crystalline ZnTeN at its relaxed geometry. The functional is GGA-PBE.

Lattice parameters (Å, degrees): 9.7327 3.9803 6.7648 90.00 98.37 90.00
Space group C2/m (No. 12)
Symmetry-distinct sites (fractional):
Zn: 0.1022 0.0000 0.3759 [4 per cell]
Te: 0.1796 0.5000 0.8048 [4 per cell]
N: 0.1064 0.0000 0.6792 [4 per cell]

Computed properties:
Total moment: 0.0 μB per formula unit
Formation energy from raw total energies: 0.493 eV/atom

***

Entry 12:
This record from Alexandria via LeMat-Bulk describes crystalline ZnTeN2 at its relaxed geometry. The functional is GGA-PBE.

Lattice parameters (Å, degrees): 4.8122 4.8122 10.5768 90.00 90.00 90.00
Space group I-42d (No. 122)
Symmetry-distinct sites (fractional):
Zn: 0.0000 0.0000 0.0000 [4 per cell]
Te: 0.0000 0.0000 0.5000 [4 per cell]
N: 0.2339 0.2500 0.1250 [8 per cell]

Computed properties:
Total moment: 0.0 μB per formula unit
Formation energy from raw total energies: 0.760 eV/atom

***

Entry 13:
This record from Alexandria via LeMat-Bulk describes crystalline ZnTeN2 at its relaxed geometry. The functional is GGA-PBE.

Lattice parameters (Å, degrees): 3.5289 3.5289 17.8735 90.00 90.00 120.00
Space group R-3m (No. 166, hexagonal axes)
Symmetry-distinct sites (fractional):
Zn: 0.0000 0.0000 0.0000 [3 per cell]
Te: 0.0000 0.0000 0.5000 [3 per cell]
N: 0.0000 0.0000 0.1029 [6 per cell]

Computed properties:
Total moment: 0.0 μB per formula unit
Formation energy from raw total energies: 0.800 eV/atom

***

Entry 14:
This record from Alexandria via LeMat-Bulk describes crystalline ZnTeN2 at its relaxed geometry. The functional is GGA-PBE.

Lattice parameters (Å, degrees): 5.8029 5.8029 5.8029 90.00 90.00 90.00
Space group Fm-3m (No. 225)
Symmetry-distinct sites (fractional):
Zn: 0.0000 0.0000 0.0000 [4 per cell]
Te: 0.0000 0.0000 0.5000 [4 per cell]
N: 0.2500 0.2500 0.2500 [8 per cell]

Computed properties:
Total moment: 0.0 μB per formula unit
Formation energy from raw total energies: 1.442 eV/atom

***

Entry 15:
This record from Alexandria via LeMat-Bulk describes crystalline Zn2TeN at its relaxed geometry. The functional is GGA-PBE.

Lattice parameters (Å, degrees): 6.5215 6.5215 6.5215 90.00 90.00 90.00
Space group Fm-3m (No. 225)
Symmetry-distinct sites (fractional):
Zn: 0.2500 0.2500 0.2500 [8 per cell]
Te: 0.0000 0.0000 0.0000 [4 per cell]
N: 0.0000 0.0000 0.5000 [4 per cell]

Computed properties:
Total moment: 1.6 μB per formula unit
Formation energy from raw total energies: 1.086 eV/atom

***

Entry 16:
This record from Alexandria via LeMat-Bulk describes crystalline ZnTeN3 at its relaxed geometry. The functional is GGA-PBE.

Lattice parameters (Å, degrees): 3.9556 3.9556 3.9556 90.00 90.00 90.00
Space group Pm-3m (No. 221)
Symmetry-distinct sites (fractional):
Zn: 0.0000 0.0000 0.0000 [1 per cell]
Te: 0.5000 0.5000 0.5000 [1 per cell]
N: 0.0000 0.5000 0.5000 [3 per cell]

Computed properties:
Total moment: 0.0 μB per formula unit
Formation energy from raw total energies: 1.697 eV/atom

***

Entry 17:
This record from Alexandria via LeMat-Bulk describes crystalline ZnTeN2 at its relaxed geometry. The functional is GGA-PBE.

Lattice parameters (Å, degrees): 3.3076 3.3076 18.1237 90.00 90.00 120.00
Space group R-3m (No. 166, hexagonal axes)
Symmetry-distinct sites (fractional):
Zn: 0.0000 0.0000 0.0000 [3 per cell]
Te: 0.0000 0.0000 0.5000 [3 per cell]
N: 0.0000 0.0000 0.3883 [6 per cell]

Computed properties:
Total moment: 0.0 μB per formula unit
Formation energy from raw total energies: 0.955 eV/atom

***

Entry 18:
This record from Alexandria via LeMat-Bulk describes crystalline ZnTeN at its relaxed geometry. The functional is GGA-PBE.

Lattice parameters (Å, degrees): 3.3147 7.3068 4.8086 90.00 109.98 90.00
Space group P2_1/m (No. 11)
Symmetry-distinct sites (fractional):
Zn: 0.2381 0.2500 0.4720 [2 per cell]
Te: 0.0000 0.0000 0.0000 [2 per cell]
N: 0.1483 0.7500 0.2986 [2 per cell]

Computed properties:
Total moment: 0.0 μB per formula unit
Formation energy from raw total energies: 0.302 eV/atom

***

Entry 19:
This record from Alexandria via LeMat-Bulk describes crystalline ZnTeN3 at its relaxed geometry. The functional is GGA-PBE.

Lattice parameters (Å, degrees): 3.8804 3.8804 3.8804 90.00 90.00 90.00
Space group Pm-3m (No. 221)
Symmetry-distinct sites (fractional):
Zn: 0.0000 0.0000 0.0000 [1 per cell]
Te: 0.5000 0.5000 0.5000 [1 per cell]
N: 0.0000 0.0000 0.5000 [3 per cell]

Computed properties:
Total moment: 0.0 μB per formula unit
Formation energy from raw total energies: 1.910 eV/atom

***

Entry 20:
This record from Alexandria via LeMat-Bulk describes crystalline ZrZnTe2N at its relaxed geometry. The functional is GGA-PBE.

Lattice parameters (Å, degrees): 5.7925 5.7925 4.0224 90.00 90.00 90.00
Space group P4/mmm (No. 123)
Symmetry-distinct sites (fractional):
Zr: 0.0000 0.0000 0.0000 [1 per cell]
Zn: 0.5000 0.5000 0.5000 [1 per cell]
Te: 0.0000 0.5000 0.0000 [2 per cell]
N: 0.0000 0.0000 0.5000 [1 per cell]

Computed properties:
Total moment: 0.0 μB per formula unit
Formation energy from raw total energies: 0.131 eV/atom

***

Entry 21:
This record from Alexandria via LeMat-Bulk describes crystalline ZrZnTe2N at its relaxed geometry. The functional is GGA-PBE.

Lattice parameters (Å, degrees): 5.4649 5.4649 3.6890 90.00 90.00 90.00
Space group P4/mmm (No. 123)
Symmetry-distinct sites (fractional):
Zr: 0.0000 0.0000 0.0000 [1 per cell]
Zn: 0.5000 0.5000 0.5000 [1 per cell]
Te: 0.0000 0.5000 0.5000 [2 per cell]
N: 0.5000 0.5000 0.0000 [1 per cell]

Computed properties:
Total moment: 1.5 μB per formula unit
Formation energy from raw total energies: 0.534 eV/atom

***

Entry 22:
This record from Alexandria via LeMat-Bulk describes crystalline Zr6TeN at its relaxed geometry. The functional is GGA-PBE.

Lattice parameters (Å, degrees): 5.9373 5.9465 6.8404 64.41 64.49 60.09
Space group P-1 (No. 2)
Symmetry-distinct sites (fractional):
Zr: 0.0366 0.4006 0.2953 [2 per cell]
Zr: 0.2329 0.9652 0.7049 [2 per cell]
Zr: 0.4009 0.7669 0.2962 [2 per cell]
Te: 0.5000 0.5000 0.0000 [1 per cell]
N: 0.0000 0.0000 0.5000 [1 per cell]

Computed properties:
Total moment: 0.0 μB per formula unit
Formation energy from raw total energies: -0.443 eV/atom

***

Entry 23:
This record from Alexandria via LeMat-Bulk describes crystalline ZrTeN2 at its relaxed geometry. The functional is GGA-PBE.

Lattice parameters (Å, degrees): 3.3445 3.3445 19.8351 90.00 90.00 120.00
Space group R-3m (No. 166, hexagonal axes)
Symmetry-distinct sites (fractional):
Zr: 0.0000 0.0000 0.0000 [3 per cell]
Te: 0.0000 0.0000 0.5000 [3 per cell]
N: 0.0000 0.0000 0.3902 [6 per cell]

Computed properties:
Total moment: 0.0 μB per formula unit
Formation energy from raw total energies: -0.486 eV/atom

***

Entry 24:
This record from Alexandria via LeMat-Bulk describes crystalline ZrTe2N2 at its relaxed geometry. The functional is GGA-PBE.

Lattice parameters (Å, degrees): 5.8775 5.8775 5.8504 90.00 90.00 90.00
Space group I4/mmm (No. 139)
Symmetry-distinct sites (fractional):
Zr: 0.0000 0.0000 0.0000 [2 per cell]
Te: 0.0000 0.5000 0.2500 [4 per cell]
N: 0.0000 0.0000 0.4012 [4 per cell]

Computed properties:
Total moment: 0.7 μB per formula unit
Formation energy from raw total energies: -0.117 eV/atom

***

Entry 25:
This record from Alexandria via LeMat-Bulk describes crystalline Zr2Te2N at its relaxed geometry. The functional is GGA-PBE.

Lattice parameters (Å, degrees): 4.2502 4.2502 13.5543 90.00 90.00 90.00
Space group I4/mmm (No. 139)
Symmetry-distinct sites (fractional):
Zr: 0.0000 0.0000 0.1033 [4 per cell]
Te: 0.0000 0.5000 0.2500 [4 per cell]
N: 0.0000 0.0000 0.5000 [2 per cell]

Computed properties:
Total moment: 0.0 μB per formula unit
Formation energy from raw total energies: 0.857 eV/atom

***

Entry 26:
This record from Alexandria via LeMat-Bulk describes crystalline ZrTe2N2 at its relaxed geometry. The functional is GGA-PBE.

Lattice parameters (Å, degrees): 4.1647 4.1647 5.7003 90.00 90.00 90.00
Space group P4/mmm (No. 123)
Symmetry-distinct sites (fractional):
Zr: 0.0000 0.0000 0.0000 [1 per cell]
Te: 0.5000 0.5000 0.0000 [1 per cell]
Te: 0.5000 0.5000 0.5000 [1 per cell]
N: 0.0000 0.5000 0.5000 [2 per cell]

Computed properties:
Total moment: 0.0 μB per formula unit
Formation energy from raw total energies: 1.222 eV/atom

***

Entry 27:
This record from Alexandria via LeMat-Bulk describes crystalline ZrTe2N2 at its relaxed geometry. The functional is GGA-PBE.

Lattice parameters (Å, degrees): 6.5465 6.5465 4.2546 90.00 90.00 90.00
Space group P4/mbm (No. 127)
Symmetry-distinct sites (fractional):
Zr: 0.0000 0.0000 0.0000 [2 per cell]
Te: 0.1635 0.3365 0.5000 [4 per cell]
N: 0.2405 0.2595 0.0000 [4 per cell]

Computed properties:
Total moment: 0.0 μB per formula unit
Formation energy from raw total energies: 0.185 eV/atom